No. 1
VASP calculation (PBE-GGA) on a relaxed structure of RbScP2S8.

Values from the calculation:
Total DFT energy (no corrections) = -4.811 eV/atom
SG = P-3 (147)

a = 6.1076 Å, b = 6.1076 Å, c = 9.3438 Å
α = 90.00°, β = 90.00°, γ = 120.00°
Closest atoms and distances in Å follow each position.
Element x y z (fractional)
Rb 0.0000 0.0000 0.0000  12 S 3.57-3.83
Sc 0.0000 0.0000 0.5000  6 S 2.61
P 0.6667 0.3333 0.2801  4 S 2.03-2.06
P 0.3333 0.6667 0.7199  4 S 2.03-2.06
S 0.3333 0.6667 0.9373  1 P 2.03
S 0.3508 0.3493 0.3401  1 P 2.06
S 0.6507 0.0015 0.3401  1 P 2.06
S 0.6667 0.3333 0.0627  1 P 2.03
S 0.3493 0.9985 0.6599  1 P 2.06
S 0.6492 0.6507 0.6599  1 P 2.06
S 0.0015 0.3508 0.6599  1 P 2.06
S 0.9985 0.6492 0.3401  1 P 2.06

=====

No. 2
VASP calculation (PBE-GGA) on a relaxed structure of RbScPS2.

Values from the calculation:
E above lowest polymorph = 0 meV/atom
SG = P4/mmm (123)

a = 5.0706 Å, b = 5.0706 Å, c = 5.1413 Å
α = 90.00°, β = 90.00°, γ = 90.00°
Closest atoms and distances in Å follow each position.
Element x y z (fractional)
Sc 0.0000 0.0000 0.0000  4 S 2.54, 2 P 2.57
P 0.0000 0.0000 0.5000  2 Sc 2.57
S 0.0000 0.5000 0.0000  2 Sc 2.54
S 0.5000 0.0000 0.0000  2 Sc 2.54
Rb 0.5000 0.5000 0.5000  4 P 3.59, 8 S 3.61

=====

No. 3
VASP calculation (PBE-GGA) on a relaxed structure of RbScPS2.

Values from the calculation:
E above lowest polymorph = 1778 meV/atom
SG = P4/mmm (123)

a = 5.2793 Å, b = 5.2793 Å, c = 5.2005 Å
α = 90.00°, β = 90.00°, γ = 90.00°
Closest atoms and distances in Å follow each position.
Element x y z (fractional)
Sc 0.5000 0.5000 0.5000  8 S 3.71, 4 P 3.73
P 0.0000 0.0000 0.5000  2 Rb 2.60
S 0.0000 0.5000 0.0000  2 Rb 2.64
S 0.5000 0.0000 0.0000  2 Rb 2.64
Rb 0.0000 0.0000 0.0000  2 P 2.60, 4 S 2.64

=====

No. 4
VASP calculation (PBE-GGA) on a relaxed structure of RbP2SeS.

Values from the calculation:
E above lowest polymorph = 1380 meV/atom
SG = P4/mmm (123)

a = 7.1749 Å, b = 7.1749 Å, c = 6.4157 Å
α = 90.00°, β = 90.00°, γ = 90.00°
Closest atoms and distances in Å follow each position.
Element x y z (fractional)
P 0.0000 0.5000 0.0000  2 Rb 3.59
P 0.5000 0.0000 0.0000  2 Rb 3.59
S 0.0000 0.0000 0.5000  2 Rb 3.21
Se 0.5000 0.5000 0.5000  8 P 4.81, 4 S 5.07
Rb 0.0000 0.0000 0.0000  2 S 3.21, 4 P 3.59

=====

No. 5
VASP calculation (PBE-GGA) on a relaxed structure of RbP2SeS.

Values from the calculation:
E above lowest polymorph = 0 meV/atom
SG = P4/mmm (123)

a = 5.0174 Å, b = 5.0174 Å, c = 5.1561 Å
α = 90.00°, β = 90.00°, γ = 90.00°
Closest atoms and distances in Å follow each position.
Element x y z (fractional)
P 0.0000 0.5000 0.0000  2 Se 2.51
P 0.5000 0.0000 0.0000  2 Se 2.51
S 0.0000 0.0000 0.5000  2 Se 2.58
Se 0.0000 0.0000 0.0000  4 P 2.51, 2 S 2.58
Rb 0.5000 0.5000 0.5000  4 S 3.55, 8 P 3.60

=====

No. 6
VASP calculation (PBE-GGA) on a relaxed structure of RbP2SeS8.

Values from the calculation:
Total DFT energy (no corrections) = -4.141 eV/atom
SG = R-3 (148)

a = 5.9607 Å, b = 5.9607 Å, c = 10.7110 Å
α = 73.84°, β = 73.84°, γ = 60.00°
Closest atoms and distances in Å follow each position.
Element x y z (fractional)
Rb 0.5000 0.5000 0.5000  6 S 3.57
P 0.2630 0.2630 0.2110  4 S 2.00-2.07
P 0.7370 0.7370 0.7890  4 S 2.00-2.07
Se 0.0000 0.0000 0.0000  6 S 2.56
S 0.1973 0.1973 0.4080  1 P 2.00
S 0.6128 0.2887 0.1558  1 P 2.07
S 0.8027 0.8027 0.5920  1 P 2.00
S 0.9427 0.6128 0.1558  1 P 2.07
S 0.0573 0.3872 0.8442  1 P 2.07
S 0.2887 0.9427 0.1558  1 P 2.07
S 0.7113 0.0573 0.8442  1 P 2.07
S 0.3872 0.7113 0.8442  1 P 2.07

=====

No. 7
VASP calculation (PBE-GGA) on a relaxed structure of RbSiP2S8.

Values from the calculation:
Total DFT energy (no corrections) = -4.486 eV/atom
SG = P-3 (147)

a = 5.7819 Å, b = 5.7819 Å, c = 10.0627 Å
α = 90.00°, β = 90.00°, γ = 120.00°
Closest atoms and distances in Å follow each position.
Element x y z (fractional)
Rb 0.0000 0.0000 0.0000  6 S 3.49
Si 0.0000 0.0000 0.5000  6 S 2.33
P 0.6667 0.3333 0.2978  4 S 1.99-2.10
P 0.3333 0.6667 0.7022  4 S 1.99-2.10
S 0.3333 0.6667 0.8995  1 P 1.99
S 0.3109 0.3199 0.3561  1 P 2.10, 1 Si 2.33
S 0.6801 0.9910 0.3561  1 P 2.10, 1 Si 2.33
S 0.6667 0.3333 0.1005  1 P 1.99
S 0.3199 0.0090 0.6439  1 P 2.10, 1 Si 2.33
S 0.6891 0.6801 0.6439  1 P 2.10, 1 Si 2.33
S 0.9910 0.3109 0.6439  1 P 2.10, 1 Si 2.33
S 0.0090 0.6891 0.3561  1 P 2.10, 1 Si 2.33

=====

No. 8
VASP calculation (PBE-GGA) on a relaxed structure of RbSmP2S8.

Values from the calculation:
Total DFT energy (no corrections) = -4.715 eV/atom
SG = P-3 (147)

a = 6.2184 Å, b = 6.2184 Å, c = 9.6913 Å
α = 90.00°, β = 90.00°, γ = 120.00°
Closest atoms and distances in Å follow each position.
Element x y z (fractional)
Rb 0.0000 0.0000 0.0000  12 S 3.63-3.91
Sm 0.0000 0.0000 0.5000  6 S 2.84
P 0.6667 0.3333 0.2685  4 S 2.04-2.05
P 0.3333 0.6667 0.7315  4 S 2.04-2.05
S 0.3333 0.6667 0.9415  1 P 2.04
S 0.3687 0.3679 0.3272  1 P 2.05
S 0.6321 0.0008 0.3272  1 P 2.05
S 0.6667 0.3333 0.0585  1 P 2.04
S 0.3679 0.9992 0.6728  1 P 2.05
S 0.6313 0.6321 0.6728  1 P 2.05
S 0.0008 0.3687 0.6728  1 P 2.05
S 0.9992 0.6313 0.3272  1 P 2.05

=====

No. 9
VASP calculation (PBE-GGA) on a relaxed structure of Rb3SmP2S8.

Values from the calculation:
Total DFT energy (no corrections) = -4.749 eV/atom
SG = P2_1 (4)

a = 6.8925 Å, b = 9.8940 Å, c = 11.8230 Å
α = 89.32°, β = 90.00°, γ = 90.00°
Closest atoms and distances in Å follow each position.
Element x y z (fractional)
Rb 0.8027 0.3555 0.0968  7 S 3.38-3.64, 1 P 3.69
Rb 0.3027 0.6445 0.9032  7 S 3.38-3.64, 1 P 3.69
Rb 0.3073 0.8256 0.4145  7 S 3.34-3.63
Rb 0.8073 0.1744 0.5855  7 S 3.34-3.63
Rb 0.8086 0.6080 0.6495  8 S 3.43-3.66
Rb 0.3086 0.3920 0.3505  8 S 3.43-3.66
Sm 0.7869 0.8842 0.1471  8 S 2.88-3.16, 1 P 3.16
Sm 0.2869 0.1158 0.8529  8 S 2.88-3.16, 1 P 3.16
P 0.8086 0.6273 0.3083  4 S 2.02-2.07
P 0.8304 0.9150 0.8456  4 S 2.05-2.07
P 0.3304 0.0850 0.1544  4 S 2.05-2.07
P 0.3086 0.3727 0.6917  4 S 2.02-2.07
S 0.0649 0.9096 0.7385  1 P 2.05
S 0.5649 0.0904 0.2615  1 P 2.05
S 0.8061 0.7384 0.9375  1 P 2.05
S 0.3061 0.2616 0.0625  1 P 2.05
S 0.0853 0.0536 0.2491  1 P 2.05
S 0.8948 0.0648 0.9603  1 P 2.07
S 0.5853 0.9464 0.7509  1 P 2.05
S 0.3948 0.9352 0.0397  1 P 2.07
S 0.3051 0.2015 0.5946  1 P 2.06
S 0.8051 0.7985 0.4054  1 P 2.06
S 0.5430 0.3474 0.7982  1 P 2.06
S 0.0430 0.6526 0.2018  1 P 2.06
S 0.3149 0.5528 0.6091  1 P 2.02
S 0.8149 0.4472 0.3909  1 P 2.02
S 0.0639 0.3549 0.7928  1 P 2.07
S 0.5639 0.6451 0.2072  1 P 2.07

=====

No. 10
VASP calculation (PBE-GGA) on a relaxed structure of Rb2SnP2S6.

Values from the calculation:
Total DFT energy (no corrections) = -4.402 eV/atom
SG = C2/m (12)

a = 7.0529 Å, b = 7.0993 Å, c = 8.1558 Å
α = 116.97°, β = 90.00°, γ = 119.78°
Closest atoms and distances in Å follow each position.
Element x y z (fractional)
Rb 0.7210 0.4420 0.2257  9 S 3.45-3.64
Rb 0.2790 0.5580 0.7743  9 S 3.45-3.64
Sn 0.5000 0.0000 0.5000  6 S 2.87-2.90
P 0.9661 0.9322 0.8358  3 S 2.04
P 0.0339 0.0678 0.1642  3 S 2.04
S 0.7721 0.5443 0.6842  1 P 2.04
S 0.1970 0.9103 0.1941  1 P 2.04
S 0.2867 0.0897 0.8059  1 P 2.04
S 0.8030 0.0897 0.8059  1 P 2.04
S 0.7133 0.9103 0.1941  1 P 2.04
S 0.2279 0.4557 0.3158  1 P 2.04

=====

No. 11
VASP calculation (PBE-GGA) on a relaxed structure of RbSnPS4.

Values from the calculation:
Total DFT energy (no corrections) = -4.473 eV/atom
SG = P2_1/m (11)

a = 6.6693 Å, b = 6.7107 Å, c = 9.1945 Å
α = 90.00°, β = 108.38°, γ = 90.00°
Closest atoms and distances in Å follow each position.
Element x y z (fractional)
Rb 0.7197 0.7500 0.9340  8 S 3.45-3.58
Rb 0.2803 0.2500 0.0660  8 S 3.45-3.58
Sn 0.7565 0.7500 0.4674  4 S 2.79-2.93
Sn 0.2435 0.2500 0.5326  4 S 2.79-2.93
P 0.2071 0.7500 0.3176  4 S 2.05-2.07
P 0.7929 0.2500 0.6824  4 S 2.05-2.07
S 0.9858 0.4955 0.7259  1 P 2.05
S 0.0142 0.9955 0.2741  1 P 2.05
S 0.0142 0.5045 0.2741  1 P 2.05
S 0.9858 0.0045 0.7259  1 P 2.05
S 0.3996 0.7500 0.1825  1 P 2.05
S 0.6004 0.2500 0.8175  1 P 2.05
S 0.3869 0.7500 0.5473  1 P 2.07
S 0.6131 0.2500 0.4527  1 P 2.07

=====

No. 12
VASP calculation (PBE-GGA) on a relaxed structure of RbSn2PS.

Values from the calculation:
Total DFT energy (no corrections) = -2.153 eV/atom
SG = P4/mmm (123)

a = 6.1914 Å, b = 5.3544 Å, c = 6.1914 Å
α = 90.00°, β = 90.00°, γ = 90.00°
Closest atoms and distances in Å follow each position.
Element x y z (fractional)
P 0.5000 0.5000 0.5000  8 Sn 4.09, 4 S 4.38
S 0.0000 0.5000 0.0000  2 Rb 2.68
Sn 0.0000 0.0000 0.5000  2 Rb 3.10
Sn 0.5000 0.0000 0.0000  2 Rb 3.10
Rb 0.0000 0.0000 0.0000  2 S 2.68

=====

| no. | Fermi-level density of states (states/eV per cell) |
| --- | --- |
| 1 | 9.04 |
| 2 | 3.35 |
| 3 | 4.55 |
| 4 | 10.73 |
| 5 | 4.34 |
| 6 | 9.89 |
| 7 | 11.05 |
| 8 | 9.73 |
| 9 | 0.00 |
| 10 | 0.01 |
| 11 | 0.00 |
| 12 | 4.28 |